NaMn2TeO6: relaxed, GGA+U.

For the mass density, the calculation gives 4.88 Mg/m³. The density of states at the Fermi level is 2.63 states/eV/f.u. The electronic total energy comes out at -0.2313 hartree per atom.

The structure belongs to space group R3 (No. 146, hexagonal axes); the cell edges are 5.3684, 5.3684 and 14.5681 Å and the angles 90.00°, 90.00° and 120.00°. The distinct sites, in fractional coordinates, are Na at (0.0000, 0.0000, 0.0000), Mn at (0.0000, 0.0000, 0.2695), Mn at (0.0000, 0.0000, 0.7863), Te at (0.0000, 0.0000, 0.4734), O at (0.0178, 0.5972, 0.0492) and O at (0.0211, 0.3823, 0.5316).